Entry i
First-principles (PBE) data for a relaxed structure of TeMoRhN2, as listed in Alexandria.

Summary:
* symmetry: No. 123
* density: 6.01 g cm⁻³

Cell: 3.830 3.830 6.683 Å, 90.00 90.00 90.00°
Fractional positions:
1 Mo 0.500 0.500 0.500
2 Te 0.000 0.000 0.500
3 Rh 0.000 0.000 0.000
4 N 0.000 0.500 0.000
5 N 0.500 0.000 0.000

=====

Entry ii
First-principles (PBE) data for a relaxed structure of TeMoRhN2, as listed in Alexandria.

Summary:
* symmetry: No. 123
* density: 6.75 g cm⁻³

Cell: 3.878 3.878 5.796 Å, 90.00 90.00 90.00°
Fractional positions:
1 Mo 0.000 0.000 0.000
2 Te 0.000 0.000 0.500
3 Rh 0.500 0.500 0.500
4 N 0.000 0.500 0.000
5 N 0.500 0.000 0.000

=====

Most stable structure - entry ii; separation to the second - 72.8 kJ/mol of atoms.

=====

Entry i
First-principles (PBE) data for a relaxed structure of MoRu3N, as listed in Alexandria.

Summary:
* symmetry: No. 221
* density: 6.63 g cm⁻³

Cell: 4.696 4.696 4.696 Å, 90.00 90.00 90.00°
Fractional positions:
1 Ru 0.000 0.500 0.000
2 Ru 0.000 0.000 0.500
3 Ru 0.500 0.000 0.000
4 Mo 0.000 0.000 0.000
5 N 0.500 0.500 0.500

=====

Entry ii
First-principles (PBE) data for a relaxed structure of MoRu3N, as listed in Alexandria.

Summary:
* symmetry: No. 221
* density: 10.49 g cm⁻³

Cell: 4.029 4.029 4.029 Å, 90.00 90.00 90.00°
Fractional positions:
1 Ru 0.000 0.500 0.000
2 Ru 0.000 0.000 0.500
3 Ru 0.500 0.000 0.000
4 Mo 0.500 0.500 0.500
5 N 0.000 0.000 0.000

=====

Most stable structure - entry ii; separation to the second - 239.2 kJ/mol of atoms.

=====

Entry i
First-principles (PBE) data for a relaxed structure of MoRuSe2N, as listed in Alexandria.

Summary:
* symmetry: No. 123
* density: 6.66 g cm⁻³

Cell: 5.031 5.031 3.634 Å, 90.00 90.00 90.00°
Fractional positions:
1 Ru 0.000 0.000 0.000
2 Mo 0.500 0.500 0.500
3 Se 0.000 0.500 0.000
4 Se 0.500 0.000 0.000
5 N 0.000 0.000 0.500

=====

Entry ii
First-principles (PBE) data for a relaxed structure of MoRuSe2N, as listed in Alexandria.

Summary:
* symmetry: No. 123
* density: 6.42 g cm⁻³

Cell: 5.042 5.042 3.756 Å, 90.00 90.00 90.00°
Fractional positions:
1 Ru 0.500 0.500 0.500
2 Mo 0.000 0.000 0.000
3 Se 0.000 0.500 0.000
4 Se 0.500 0.000 0.000
5 N 0.000 0.000 0.500

=====

Most stable structure - entry i; separation to the second - 6.6 kJ/mol of atoms.

=====

Entry i
First-principles (PBE) data for a relaxed structure of MoRuSeN2, as listed in Alexandria.

Summary:
* symmetry: No. 123
* density: 6.31 g cm⁻³

Cell: 3.867 3.867 5.350 Å, 90.00 90.00 90.00°
Fractional positions:
1 Ru 0.500 0.500 0.500
2 Mo 0.000 0.000 0.000
3 Se 0.000 0.000 0.500
4 N 0.000 0.500 0.000
5 N 0.500 0.000 0.000

=====

Entry ii
First-principles (PBE) data for a relaxed structure of MoRuSeN2, as listed in Alexandria.

Summary:
* symmetry: No. 123
* density: 6.47 g cm⁻³

Cell: 3.813 3.813 5.367 Å, 90.00 90.00 90.00°
Fractional positions:
1 Ru 0.000 0.000 0.000
2 Mo 0.500 0.500 0.500
3 Se 0.000 0.000 0.500
4 N 0.000 0.500 0.000
5 N 0.500 0.000 0.000

=====

Most stable structure - entry i; separation to the second - 17.7 kJ/mol of atoms.